PBE TlSi2Pd2, optimized geometry; calculated total energy = -48.1 eV per cell; N(E_F) = 1.50 states/eV/f.u.; total magnetization = 0.000 μB/cell; space group = P4/mbm, No. 127; volume = 17.26 Å³ per atom; polymorph energy (0 for the lowest one) = 88 kJ/mol of formula units
1.0
7.8110 0.0000 0.0000
0.0000 7.8110 0.0000
0.0000 0.0000 2.8294
Pd Tl Si
4 2 4
Direct
0.8333 0.3333 0.5000
0.3333 0.1667 0.5000
0.1667 0.6667 0.5000
0.6667 0.8333 0.5000
0.5000 0.5000 0.0000
0.0000 0.0000 0.0000
0.6190 0.1190 0.0000
0.3810 0.8810 0.0000
0.1190 0.3810 0.0000
0.8810 0.6190 0.0000



PBE Pm8SiHg2, optimized geometry; calculated total energy = -46.9 eV per cell; N(E_F) = 10.93 states/eV/f.u.; total magnetization = 0.000 μB/cell; space group = C2/m, No. 12; volume = 29.96 Å³ per atom
1.0
5.2732 0.0000 0.0000
0.0000 6.9257 -0.0307
-2.6366 -3.0197 9.0370
Pm Hg Si
8 2 1
Direct
0.3394 0.0035 0.6788
0.4091 0.5403 0.8183
0.7965 0.6654 0.5930
0.6606 0.9965 0.3212
0.9858 0.2208 0.9717
0.0142 0.7792 0.0283
0.5909 0.4597 0.1817
0.2035 0.3346 0.4070
0.8282 0.2594 0.6564
0.1718 0.7406 0.3436
0.5000 0.0000 0.0000



PBE NaHoAg4, optimized geometry; calculated total energy = -17.8 eV per cell; N(E_F) = 9.06 states/eV/f.u.; energy of formation = -0.081 eV per atom; total magnetization = 0.002 μB/cell; space group = F-43m, No. 216; volume = 21.28 Å³ per atom
1.0
-1.8285 5.3028 0.6919
-5.2288 0.9584 1.9192
-0.7653 2.0690 5.2034
Ag Ho Na
4 1 1
Direct
0.1244 0.6252 0.6252
0.6252 0.1244 0.6252
0.6252 0.6252 0.1244
0.6252 0.6252 0.6252
0.2500 0.2500 0.2500
0.0000 0.0000 0.0000



PBE Li3Pd6Au, optimized geometry; calculated total energy = -84.6 eV per cell; N(E_F) = 6.89 states/eV/f.u.; energy of formation = -0.211 eV per atom; total magnetization = 0.000 μB/cell; space group = Cmc2_1, No. 36; volume = 14.91 Å³ per atom
1.0
5.3796 0.0000 0.0000
0.0000 7.5911 -0.2105
0.0000 -1.8991 7.3527
Pd Au Li
12 2 6
Direct
0.8431 0.4211 0.0315
0.8431 0.9685 0.5789
0.5991 0.3116 0.6884
0.3431 0.5789 0.9685
0.0996 0.7338 0.7311
0.5996 0.2662 0.2689
0.3431 0.0315 0.4211
0.5996 0.7311 0.7338
0.8529 0.0497 0.9503
0.0996 0.2689 0.2662
0.3529 0.9503 0.0497
0.0991 0.6884 0.3116
0.5939 0.6911 0.3089
0.0939 0.3089 0.6911
0.8476 0.5034 0.4966
0.8532 0.9914 0.2719
0.8532 0.7281 0.0086
0.3532 0.0086 0.7281
0.3532 0.2719 0.9914
0.3476 0.4966 0.5034